The following is a PBE-GGA calculation of HfTa4Ge2 after structural relaxation, from Alexandria via LeMat-Bulk.

abc: 4.4355 16.5084 3.5189
angles: 90.00 90.00 90.00
With the nearest neighbours (Å) after each atom.
Space group Cmmm (No. 65)
One atom of each set of equivalent atoms:
Hf  0.0000  0.0000  0.0000 (multiplicity 2)  8 Ge 3.07, 4 Ta 3.34
Ta  0.0000  0.1723  0.5000 (multiplicity 4)  2 Ge 2.77, 6 Ta 2.84-2.92
Ta  0.0000  0.3134  0.0000 (multiplicity 4)  2 Ge 2.59, 4 Ta 2.84
Ge  0.0000  0.4285  0.5000 (multiplicity 4)  1 Ge 2.36, 2 Ta 2.59

Computed properties:
Final energy   -9.704 eV/atom
E_form   -0.190 eV/atom


The following is a PBE-GGA calculation of HfTaGe3 after structural relaxation, from Alexandria via LeMat-Bulk.

abc: 4.9742 4.9742 4.9742
angles: 90.00 90.00 90.00
With the nearest neighbours (Å) after each atom.
Space group Pm-3m (No. 221)
One atom of each set of equivalent atoms:
Hf  0.0000  0.0000  0.0000 (multiplicity 1)  6 Ge 2.49
Ta  0.5000  0.5000  0.5000 (multiplicity 1)  12 Ge 3.52
Ge  0.0000  0.0000  0.5000 (multiplicity 3)  2 Hf 2.49

Computed properties:
Excess energy over the best structure of this formula in the dataset   535 meV per atom
Final energy   -5.890 eV/atom
E_form   1.241 eV/atom


The following is a PBE-GGA calculation of HfTaGe2 after structural relaxation, from Alexandria via LeMat-Bulk.

abc: 5.9998 5.9998 11.7843
angles: 90.00 90.00 90.00
With the nearest neighbours (Å) after each atom.
Space group I-42d (No. 122)
One atom of each set of equivalent atoms:
Hf  0.0000  0.0000  0.0000 (multiplicity 4)  4 Ge 2.64
Ta  0.0000  0.0000  0.5000 (multiplicity 4)  4 Ge 2.53
Ge  0.2332  0.2500  0.6250 (multiplicity 8)  2 Ta 2.53, 2 Hf 2.64

Computed properties:
Excess energy over the best structure of this formula in the dataset   930 meV per atom
Final energy   -7.098 eV/atom
E_form   0.662 eV/atom


The following is a PBE-GGA calculation of HfTa2Ge after structural relaxation, from Alexandria via LeMat-Bulk.

abc: 3.6026 10.0191 8.2340
angles: 90.00 90.00 90.00
With the nearest neighbours (Å) after each atom.
Space group Cmcm (No. 63)
One atom of each set of equivalent atoms:
Hf  0.0000  0.0514  0.2500 (multiplicity 4)  3 Ge 2.81-2.85, 8 Ta 3.13
Ta  0.0000  0.3606  0.0425 (multiplicity 8)  3 Ge 2.66-2.72, 3 Ta 2.88-2.94
Ge  0.0000  0.2335  0.7500 (multiplicity 4)  6 Ta 2.66-2.72, 3 Hf 2.81-2.85

Computed properties:
Final energy   -9.913 eV/atom
E_form   -0.344 eV/atom